This record from the Alexandria database describes a relaxed PrMg6 crystal. The functional is GGA-PBE.

Properties
The calculation puts the formation energy at 0.39 eV/f.u. The total magnetization comes out at 0.00 μB per cell. For the energy above the most stable polymorph in this dataset, the calculation gives 0.0 meV/atom.

Cell and atoms, written as POSCAR:
```
PrMg6
1.0
6.171 0.000 0.000
0.000 6.171 0.000
0.000 0.000 9.620
Pr Mg
2 12
Direct
0.000 0.500 0.000
0.500 0.000 0.000
0.500 0.500 0.848
0.000 0.000 0.152
0.827 0.327 0.639
0.173 0.673 0.639
0.673 0.827 0.639
0.173 0.327 0.361
0.500 0.500 0.152
0.327 0.827 0.361
0.327 0.173 0.639
0.827 0.673 0.361
0.000 0.000 0.848
0.673 0.173 0.361
```